Entry 1:
This record from the Alexandria database describes a relaxed structure of Ho4HgPd. The functional is GGA-PBE.

CIF file:
```
data_Ho4HgPd
_chemical_formula_sum 'Ho16 Hg4 Pd4'
_space_group_name_H-M_alt 'P 1'
_space_group_IT_number 1
_space_group_name_Hall 'P 1'
_cell_length_a 9.603
_cell_length_b 9.603
_cell_length_c 9.603
_cell_angle_alpha 60.00
_cell_angle_beta 60.00
_cell_angle_gamma 60.00
loop_
_atom_site_label
_atom_site_fract_x
_atom_site_fract_y
_atom_site_fract_z
Ho1 0.185 0.185 0.815
Ho2 0.185 0.815 0.185
Ho3 0.185 0.815 0.815
Ho4 0.393 0.393 0.393
Ho5 0.393 0.393 0.822
Ho6 0.393 0.822 0.393
Ho7 0.561 0.561 0.939
Ho8 0.561 0.939 0.561
Ho9 0.561 0.939 0.939
Ho10 0.815 0.185 0.185
Ho11 0.815 0.185 0.815
Ho12 0.815 0.815 0.185
Ho13 0.822 0.393 0.393
Ho14 0.939 0.561 0.561
Ho15 0.939 0.561 0.939
Ho16 0.939 0.939 0.561
Hg1 0.163 0.163 0.163
Hg2 0.163 0.163 0.511
Hg3 0.163 0.511 0.163
Hg4 0.511 0.163 0.163
Pd1 0.188 0.604 0.604
Pd2 0.604 0.188 0.604
Pd3 0.604 0.604 0.188
Pd4 0.604 0.604 0.604
```

Properties
DOS at the Fermi energy in states/eV/cell: 21.8
Energy relative to the lowest polymorph listed for this composition in meV/atom: 0
DFT formation energy in meV/atom: -510

***

Entry 2:
This record from the Alexandria database describes a relaxed structure of TmSnIr2. The functional is GGA-PBE.

CIF file:
```
data_TmSnIr2
_chemical_formula_sum 'Tm1 Sn1 Ir2'
_space_group_name_H-M_alt 'P 1'
_space_group_IT_number 1
_space_group_name_Hall 'P 1'
_cell_length_a 4.404
_cell_length_b 4.404
_cell_length_c 3.749
_cell_angle_alpha 90.00
_cell_angle_beta 90.00
_cell_angle_gamma 90.00
loop_
_atom_site_label
_atom_site_fract_x
_atom_site_fract_y
_atom_site_fract_z
Tm1 0.000 0.000 0.000
Sn1 0.500 0.500 0.000
Ir1 0.000 0.500 0.500
Ir2 0.500 0.000 0.500
```

Properties
DOS at the Fermi energy in states/eV/cell: 1.4
DFT formation energy in meV/atom: -605

***

Entry 3:
This record from the Alexandria database describes a relaxed structure of Cs3Sn5Pb2. The functional is GGA-PBE.

CIF file:
```
data_Cs3Sn5Pb2
_chemical_formula_sum 'Cs6 Sn10 Pb4'
_space_group_name_H-M_alt 'P 1'
_space_group_IT_number 1
_space_group_name_Hall 'P 1'
_cell_length_a 11.211
_cell_length_b 11.211
_cell_length_c 11.211
_cell_angle_alpha 116.71
_cell_angle_beta 78.10
_cell_angle_gamma 139.17
loop_
_atom_site_label
_atom_site_fract_x
_atom_site_fract_y
_atom_site_fract_z
Cs1 0.133 0.747 0.880
Cs2 0.250 0.250 0.000
Cs3 0.367 0.247 0.614
Cs4 0.633 0.753 0.386
Cs5 0.750 0.750 0.000
Cs6 0.867 0.253 0.120
Sn1 0.021 0.750 0.271
Sn2 0.116 0.379 0.496
Sn3 0.250 0.750 0.500
Sn4 0.384 0.879 0.263
Sn5 0.479 0.750 0.729
Sn6 0.521 0.250 0.271
Sn7 0.616 0.121 0.737
Sn8 0.750 0.250 0.500
Sn9 0.884 0.621 0.504
Sn10 0.979 0.250 0.729
Pb1 0.159 0.119 0.278
Pb2 0.341 0.619 0.960
Pb3 0.659 0.381 0.040
Pb4 0.841 0.881 0.722
```

Properties
DOS at the Fermi energy in states/eV/cell: 10.8
DFT formation energy in meV/atom: -94

***

Entry 4:
This record from the Alexandria database describes a relaxed structure of La2GdPa. The functional is GGA-PBE.

CIF file:
```
data_La2GdPa
_chemical_formula_sum 'La2 Gd1 Pa1'
_space_group_name_H-M_alt 'P 1'
_space_group_IT_number 1
_space_group_name_Hall 'P 1'
_cell_length_a 5.015
_cell_length_b 5.015
_cell_length_c 4.979
_cell_angle_alpha 90.00
_cell_angle_beta 90.00
_cell_angle_gamma 90.00
loop_
_atom_site_label
_atom_site_fract_x
_atom_site_fract_y
_atom_site_fract_z
La1 0.000 0.500 0.000
La2 0.500 0.000 0.000
Gd1 0.000 0.000 0.500
Pa1 0.500 0.500 0.500
```

Properties
DOS at the Fermi energy in states/eV/cell: 8.0
Energy relative to the lowest polymorph listed for this composition in meV/atom: 121
DFT formation energy in meV/atom: 258

***

Question: Which value of DOS at the Fermi energy does entry 1 give?
Answer: 21.8 states/eV/cell

***

Question: Number 3 is which compound?
Answer: Cs3Sn5Pb2